(1)
{
  "formula": "Na2B3C",
  "functional": "GGA-PBE",
  "state": "relaxed",
  "cell": [[10.0643, 0.0000, 0.0000], [0.0000, 2.8264, 0.0000], [-4.6863, 0.0000, 8.9111]],
  "species": ["Na", "Na", "Na", "Na", "Na", "Na", "Na", "Na", "B", "B", "B", "B", "B", "B", "B", "B", "B", "B", "B", "B", "C", "C", "C", "C"],
  "fractional_positions": [[0.0000, 0.0000, 0.0000], [0.0000, 0.5000, 0.5000], [0.2492, 0.0000, 0.7501], [0.2504, 0.5000, 0.2538], [0.5000, 0.0000, 0.5000], [0.5000, 0.5000, 0.0000], [0.7496, 0.5000, 0.7462], [0.7508, 0.0000, 0.2499], [0.0481, 0.5000, 0.7969], [0.0549, 0.0000, 0.3064], [0.2112, 0.5000, 0.9601], [0.2258, 0.0000, 0.4750], [0.3145, 0.0000, 0.0646], [0.4579, 0.5000, 0.7061], [0.5421, 0.5000, 0.2939], [0.6855, 0.0000, 0.9354], [0.7742, 0.0000, 0.5250], [0.7888, 0.5000, 0.0399], [0.9451, 0.0000, 0.6936], [0.9519, 0.5000, 0.2031], [0.3029, 0.5000, 0.5506], [0.4644, 0.0000, 0.2160], [0.5356, 0.0000, 0.7840], [0.6971, 0.5000, 0.4494]],
  "dos_ef_per_ev_cell": 6.2,
  "space_group": "No. 10",
  "delta_e_f_ev_per_fu": 0.86
}

=====

(2)
{
  "formula": "Na2B3C",
  "functional": "GGA-PBE",
  "state": "relaxed",
  "cell": [[8.6517, 0.0000, 0.0000], [0.0000, 1.4061, 13.0423], [0.0000, -1.4061, 13.0423]],
  "species": ["Na", "Na", "Na", "Na", "Na", "Na", "Na", "Na", "Na", "Na", "B", "B", "B", "B", "B", "B", "B", "B", "B", "B", "B", "B", "B", "B", "B", "C", "C", "C", "C", "C"],
  "fractional_positions": [[0.2493, 0.0000, 0.0000], [0.2497, 0.2001, 0.2001], [0.2499, 0.3996, 0.3996], [0.2504, 0.6004, 0.6004], [0.2496, 0.7997, 0.7997], [0.7503, 0.2001, 0.2001], [0.7501, 0.3996, 0.3996], [0.7496, 0.6004, 0.6004], [0.7504, 0.7997, 0.7997], [0.7507, 0.0000, 0.0000], [0.0000, 0.0784, 0.0784], [0.0000, 0.2636, 0.2636], [0.0000, 0.4699, 0.4699], [0.0000, 0.5345, 0.5345], [0.0000, 0.6703, 0.6703], [0.0000, 0.8579, 0.8579], [0.0000, 0.9263, 0.9263], [0.5000, 0.1227, 0.1227], [0.5000, 0.2701, 0.2701], [0.5000, 0.3343, 0.3343], [0.5000, 0.5327, 0.5327], [0.5000, 0.6641, 0.6641], [0.5000, 0.7274, 0.7274], [0.5000, 0.8743, 0.8743], [0.5000, 0.9413, 0.9413], [0.0000, 0.1381, 0.1381], [0.0000, 0.3268, 0.3268], [0.0000, 0.7323, 0.7323], [0.5000, 0.0633, 0.0633], [0.5000, 0.4711, 0.4711]],
  "dos_ef_per_ev_cell": 5.0,
  "space_group": "No. 38",
  "delta_e_f_ev_per_fu": 0.89
}

=====

(3)
{
  "formula": "Na2B3C",
  "functional": "GGA-PBE",
  "state": "relaxed",
  "cell": [[8.6278, 0.0000, 0.0000], [0.0000, 4.9705, 2.9799], [0.0000, -4.9705, 2.9799]],
  "species": ["Na", "Na", "Na", "Na", "Na", "Na", "Na", "Na", "B", "B", "B", "B", "B", "B", "B", "B", "B", "B", "B", "B", "C", "C", "C", "C"],
  "fractional_positions": [[0.0000, 0.0000, 0.0000], [0.0000, 0.4953, 0.4953], [0.0024, 0.4988, 0.9978], [0.4976, 0.4988, 0.9978], [0.5000, 0.0000, 0.0000], [0.5000, 0.4953, 0.4953], [0.5024, 0.9978, 0.4988], [0.9976, 0.9978, 0.4988], [0.2500, 0.1756, 0.8456], [0.2500, 0.3080, 0.6328], [0.2500, 0.3358, 0.1756], [0.2500, 0.6766, 0.8457], [0.2500, 0.8075, 0.6322], [0.2500, 0.8359, 0.1755], [0.7500, 0.1756, 0.3358], [0.7500, 0.1755, 0.8359], [0.7500, 0.6322, 0.8075], [0.7500, 0.6328, 0.3080], [0.7500, 0.8456, 0.1756], [0.7500, 0.8457, 0.6766], [0.2500, 0.1660, 0.3328], [0.2500, 0.6656, 0.3325], [0.7500, 0.3325, 0.6656], [0.7500, 0.3328, 0.1660]],
  "dos_ef_per_ev_cell": 3.6,
  "space_group": "No. 40",
  "delta_e_f_ev_per_fu": 0.95
}